The following is a DFT calculation (PBE-GGA) of AlCdC2F after structural relaxation.

Total DFT energy (no corrections): -3.34 eV per atom
E_form (uncorrected): 1656 meV/atom

Cell: 4.4246 4.4246 3.4934 Å, 90.00 90.00 90.00°
Last column: nearest neighbours and their distance in Å.
Atoms (fractional coordinates):
Al  0.0000  0.0000  0.0000  2 F 1.75
Cd  0.5000  0.5000  0.0000  8 C 2.82, 4 Al 3.13
C  0.0000  0.5000  0.5000  2 F 2.21
C  0.5000  0.0000  0.5000  2 F 2.21
F  0.0000  0.0000  0.5000  2 Al 1.75